Computed, not measured: an optimized crystal structure of ZrCl4 at the PBE-GGA level of DFT.

abc: 5.013 5.013 5.013
angles: 90.00 90.00 90.00
Site moments in Bohr magnetons follow the coordinates.
Sites, in units of the cell vectors:
Cl: 0.000 0.000 0.000  0.24
Cl: 0.500 0.500 0.000  0.01
Cl: 0.500 0.000 0.500  0.01
Cl: 0.000 0.500 0.500  0.01
Zr: 0.500 0.500 0.500  -0.06

Values from the calculation:
Its raw total energy is -21.8 eV/cell. The value obtained for the uncorrected formation energy is -1.1802 eV per atom. The calculation puts the volume at 126.0 Å³ per cell.